Record 1
PBE-GGA Pu2Re2C3, relaxed; V = 14.2 Å³ per atom; space-group type = No. 12; energy = -11.73 eV per atom
1.0
3.2376 0.0000 0.0000
0.0000 5.6364 -0.5559
-1.6188 -1.9835 5.6454
C Pu Re
3 2 2
direct
0.7498 0.2551 0.4996
0.2502 0.7449 0.5004
0.0000 0.0000 0.0000
0.6034 0.8028 0.2069
0.3966 0.1972 0.7931
0.8426 0.6750 0.6852
0.1574 0.3250 0.3148


Record 2
PBE-GGA Tm5ZrHg6, relaxed; V = 24.3 Å³ per atom; space-group type = No. 10; energy = -3.13 eV per atom
1.0
4.8819 -0.0291 1.6067
0.0394 7.3235 0.0131
-0.0327 -0.0144 8.1341
Tm Hg Zr
5 6 1
direct
0.0000 0.5000 0.0000
0.3321 0.5000 0.3350
0.6679 0.5000 0.6650
0.6630 0.0000 0.6757
0.3370 0.0000 0.3243
0.1675 0.7524 0.6662
0.1675 0.2476 0.6662
0.5000 0.7462 0.0000
0.5000 0.2538 0.0000
0.8325 0.2476 0.3338
0.8325 0.7524 0.3338
0.0000 0.0000 0.0000


Record 3
PBE-GGA PrGa2PdAu5, relaxed; V = 20.5 Å³ per atom; space-group type = No. 123; energy = -3.86 eV per atom
1.0
4.9745 0.0000 0.0000
0.0000 4.9745 0.0000
0.0000 0.0000 7.4506
Au Ga Pr Pd
5 2 1 1
direct
0.0000 0.5000 0.7698
0.0000 0.5000 0.2302
0.5000 0.5000 0.5000
0.5000 0.0000 0.7698
0.5000 0.0000 0.2302
0.5000 0.5000 0.8407
0.5000 0.5000 0.1593
0.0000 0.0000 0.5000
0.0000 0.0000 0.0000


Record 4
PBE-GGA BaHgPb3, relaxed; energy relative to the lowest polymorph listed for this composition = 5.23 eV/f.u.; V = 53.2 Å³ per atom; space-group type = No. 221
1.0
6.4302 0.0000 0.0000
0.0000 6.4302 0.0000
0.0000 0.0000 6.4302
Hg Pb Ba
1 3 1
direct
0.5000 0.5000 0.5000
0.5000 0.0000 0.0000
0.0000 0.5000 0.0000
0.0000 0.0000 0.5000
0.0000 0.0000 0.0000


Record 5
PBE-GGA Ta3NbRh4, relaxed; V = 16.0 Å³ per atom; space-group type = No. 51; energy = -9.83 eV per atom
1.0
4.8661 0.0000 0.0000
0.0000 5.7270 0.0000
0.0000 0.0000 9.1880
Rh Nb Ta
8 2 6
direct
0.1328 0.7513 0.7500
0.5000 0.2490 0.5000
0.8672 0.7513 0.2500
0.8672 0.2487 0.2500
0.1328 0.2487 0.7500
0.5000 0.7510 0.0000
0.5000 0.2490 0.0000
0.5000 0.7510 0.5000
0.0000 0.5000 0.0000
0.0000 0.5000 0.5000
0.3778 0.0000 0.2500
0.6234 0.5000 0.7500
0.3766 0.5000 0.2500
0.6222 0.0000 0.7500
0.0000 0.0000 0.0000
0.0000 0.0000 0.5000


Record 6
PBE-GGA Hf3H2Pt, relaxed; V = 15.1 Å³ per atom; space-group type = No. 12; energy = -7.61 eV per atom
1.0
3.2873 0.0000 0.0000
0.0000 5.6856 -0.4307
-1.6436 -2.2067 9.8470
H Pt Hf
4 2 6
direct
0.2907 0.5852 0.5815
0.0562 0.1683 0.1125
0.7093 0.4148 0.4185
0.9438 0.8317 0.8875
0.6508 0.8898 0.3016
0.3492 0.1102 0.6984
0.6025 0.3796 0.2050
0.3975 0.6204 0.7950
0.9605 0.2155 0.9210
0.2306 0.2343 0.4613
0.0395 0.7845 0.0790
0.7694 0.7657 0.5387


Record 7
PBE-GGA PmDy4Y3Se8, relaxed; V = 24.3 Å³ per atom; space-group type = No. 166; formation energy from raw total energies = -1.76 eV/atom
1.0
-5.9359 5.6005 -0.6889
-5.5538 -5.6187 2.1770
6.4618 1.4533 4.8201
Dy Se Pm Y
4 8 1 3
direct
0.0000 0.0000 0.0000
0.5000 0.0000 0.5000
0.5000 0.0000 0.0000
0.0000 0.0000 0.5000
0.2538 0.7547 0.5077
0.7462 0.2453 0.4923
0.2538 0.7548 0.0009
0.2529 0.2452 0.9991
0.2496 0.2486 0.4991
0.7504 0.7514 0.5009
0.7471 0.7548 0.0009
0.7462 0.2452 0.9991
0.0000 0.5000 0.0000
0.5000 0.5000 0.5000
0.5000 0.5000 0.0000
0.0000 0.5000 0.5000


Record 8
PBE-GGA Li3CdO, relaxed; energy relative to the lowest polymorph listed for this composition = 6.83 eV/f.u.; V = 22.8 Å³ per atom; space-group type = No. 221; formation energy from raw total energies = 0.42 eV/atom
1.0
-3.5426 3.2884 -0.3819
-2.5662 -2.3745 3.3595
2.0914 2.6567 3.4753
O Li Cd
1 3 1
direct
0.5000 0.5000 0.5000
0.0000 0.0000 0.5000
0.5000 0.0000 0.0000
0.0000 0.5000 0.0000
0.0000 0.0000 0.0000


Record 9
PBE-GGA NbN2Cl, relaxed; energy relative to the lowest polymorph listed for this composition = 7.26 eV/f.u.; V = 14.4 Å³ per atom; space-group type = No. 166; formation energy from raw total energies = 1.78 eV/atom
1.0
1.8054 0.0000 6.8000
-0.9027 1.5635 6.8000
-0.9027 -1.5635 6.8000
N Cl Nb
2 1 1
direct
0.9049 0.9049 0.9049
0.0951 0.0951 0.0951
0.5000 0.5000 0.5000
0.0000 0.0000 0.0000


Record 10
PBE-GGA PrPuCl5, relaxed; V = 34.6 Å³ per atom; space-group type = No. 15; formation energy from raw total energies = -1.98 eV/atom
1.0
-6.6634 -3.3013 0.1909
-1.0075 -3.2800 -6.6002
1.3125 -9.8691 1.0621
Cl Pu Pr
10 2 2
direct
0.3391 0.6989 0.0400
0.6609 0.3011 0.9600
0.3011 0.6609 0.4600
0.1350 0.8650 0.7500
0.7049 0.7924 0.6416
0.2076 0.2951 0.8584
0.6989 0.3391 0.5400
0.8650 0.1350 0.2500
0.2951 0.2076 0.3584
0.7924 0.7049 0.1416
0.0000 0.0000 0.0000
0.0000 0.0000 0.5000
0.4565 0.5435 0.7500
0.5435 0.4565 0.2500


Record 11
PBE-GGA SnHg, relaxed; V = 49.4 Å³ per atom; space-group type = No. 217; energy = -1.90 eV per atom
1.0
9.2461 0.0000 0.0000
0.0000 9.2461 0.0000
0.0000 0.0000 9.2461
Hg Sn
8 8
direct
0.8023 0.1977 0.1977
0.3023 0.3023 0.3023
0.1977 0.8023 0.1977
0.6977 0.6977 0.3023
0.6977 0.3023 0.6977
0.3023 0.6977 0.6977
0.1977 0.1977 0.8023
0.8023 0.8023 0.8023
0.8789 0.8789 0.1211
0.1211 0.1211 0.1211
0.8789 0.1211 0.8789
0.1211 0.8789 0.8789
0.3789 0.3789 0.6211
0.3789 0.6211 0.3789
0.6211 0.3789 0.3789
0.6211 0.6211 0.6211


Record 12
PBE-GGA Cu2TcAgH, relaxed; V = 23.4 Å³ per atom; space-group type = No. 123; energy = -3.05 eV per atom
1.0
4.7311 0.0000 0.0000
0.0000 5.2313 0.0000
0.0000 0.0000 4.7311
H Cu Ag Tc
1 2 1 1
direct
0.5000 0.5000 0.5000
0.0000 0.0000 0.5000
0.5000 0.0000 0.0000
0.0000 0.5000 0.0000
0.0000 0.0000 0.0000


Record 13
PBE-GGA Ho3ScGa12, relaxed; V = 18.9 Å³ per atom; space-group type = No. 123; energy = -4.04 eV per atom
1.0
4.2267 0.0000 0.0000
0.0000 4.2267 0.0000
0.0000 0.0000 16.9468
Ga Ho Sc
12 3 1
direct
0.0000 0.5000 0.1189
0.0000 0.5000 0.3732
0.5000 0.0000 0.3732
0.5000 0.5000 0.7510
0.0000 0.5000 0.6268
0.5000 0.0000 0.6268
0.5000 0.0000 0.1189
0.5000 0.5000 0.2490
0.0000 0.5000 0.8811
0.5000 0.0000 0.8811
0.5000 0.5000 0.5000
0.5000 0.5000 0.0000
0.0000 0.0000 0.2453
0.0000 0.0000 0.7547
0.0000 0.0000 0.5000
0.0000 0.0000 0.0000


Record 14
PBE-GGA BeRu2, relaxed; V = 14.7 Å³ per atom; space-group type = No. 227; energy = -6.66 eV per atom
1.0
4.2621 2.2639 1.2977
-0.1271 4.2472 2.6305
1.4620 0.0241 4.7788
Ru Be
4 2
direct
0.1250 0.1250 0.1250
0.1250 0.6250 0.1250
0.1250 0.1250 0.6250
0.6250 0.1250 0.1250
0.7500 0.7500 0.7500
0.5000 0.5000 0.5000


Record 15
PBE-GGA AlHSe2, relaxed; energy relative to the lowest polymorph listed for this composition = 0.44 eV/f.u.; V = 21.9 Å³ per atom; space-group type = No. 15
1.0
14.7384 0.0000 -1.8020
2.7092 4.9431 -5.1413
-2.7092 4.9431 5.1413
Al H Se
8 8 16
direct
0.9042 0.1477 0.5935
0.6183 0.5449 0.8134
0.8817 0.3134 0.0449
0.3817 0.4551 0.1866
0.4042 0.9065 0.3523
0.5958 0.0935 0.6477
0.0958 0.8523 0.4065
0.1183 0.6866 0.9551
0.8429 0.7674 0.8719
0.1571 0.2326 0.1281
0.6571 0.3719 0.2674
0.3429 0.6281 0.7326
0.6952 0.0714 0.3000
0.3048 0.9286 0.7000
0.1952 0.2000 0.4286
0.8048 0.8000 0.5714
0.5012 0.1069 0.2969
0.7476 0.1775 0.2542
0.2500 0.7680 0.2680
0.7500 0.6050 0.1050
0.9939 0.2891 0.8830
0.2500 0.3950 0.8950
0.7524 0.7542 0.6775
0.2476 0.2458 0.3225
0.2524 0.8225 0.7458
0.0061 0.7109 0.1170
0.4988 0.8931 0.7031
0.0012 0.2031 0.3931
0.7500 0.2320 0.7320
0.9988 0.7969 0.6069
0.4939 0.6170 0.2109
0.5061 0.3830 0.7891


Record 16
PBE-GGA RhW2Cl, relaxed; energy relative to the lowest polymorph listed for this composition = 0.69 eV/f.u.; V = 15.4 Å³ per atom; space-group type = No. 166; formation energy from raw total energies = 0.35 eV/atom
1.0
-8.0586 3.6591 -0.0609
-8.3431 1.8804 -2.2785
-8.7931 0.9334 0.3791
Rh W Cl
1 2 1
direct
0.7500 0.7500 0.7500
0.5008 0.5008 0.5008
0.9992 0.9992 0.9992
0.2500 0.2500 0.2500


Record 17
PBE-GGA PmScTiIr2, relaxed; V = 20.7 Å³ per atom; space-group type = No. 119; energy = -8.10 eV per atom
1.0
4.2668 0.0000 0.0000
0.0000 4.2668 0.0000
-2.1334 -2.1334 5.6893
Sc Ti Pm Ir
1 1 1 2
direct
0.2500 0.7500 0.5000
0.7500 0.2500 0.5000
0.0000 0.0000 0.0000
0.3841 0.3841 0.7682
0.6159 0.6159 0.2318


Record 18
PBE-GGA MnHg2IrPb, relaxed; V = 29.0 Å³ per atom; space-group type = No. 123; energy = -3.79 eV per atom
1.0
-3.7146 3.0270 -2.2438
-2.3871 0.4538 4.5640
2.8688 4.3148 1.0714
Pb Mn Hg Ir
1 1 2 1
direct
0.0000 0.5000 0.0000
0.5000 0.5000 0.5000
0.5000 0.0000 0.0000
0.0000 0.0000 0.5000
0.0000 0.0000 0.0000


Record 19
PBE-GGA YH2Pt, relaxed; energy relative to the lowest polymorph listed for this composition = 0.73 eV/f.u.; V = 12.7 Å³ per atom; space-group type = No. 122
1.0
4.3448 0.0000 0.0000
0.0000 4.3448 0.0000
2.1724 2.1724 5.3730
H Y Pt
4 2 2
direct
0.3750 0.2463 0.7500
0.8750 0.0037 0.7500
0.9963 0.6250 0.2500
0.7537 0.1250 0.2500
0.5000 0.5000 0.0000
0.2500 0.7500 0.5000
0.0000 0.0000 0.0000
0.7500 0.2500 0.5000


Record 20
PBE-GGA ErB2Rh2, relaxed; V = 12.9 Å³ per atom; space-group type = No. 139; energy = -7.20 eV per atom
1.0
-0.3377 -1.2116 -3.6208
0.2920 -3.6325 1.1883
-4.3522 2.2254 1.6902
B Rh Er
2 2 1
direct
0.3832 0.3832 0.7665
0.6168 0.6168 0.2335
0.2500 0.7500 0.5000
0.7500 0.2500 0.5000
0.0000 0.0000 0.0000


Record 21
PBE-GGA CaTlCr, relaxed; V = 25.4 Å³ per atom; space-group type = No. 107; energy = -4.42 eV per atom
1.0
5.8768 -0.2408 -0.2059
3.6132 4.6411 0.2059
-4.6586 -2.3865 2.6906
Ca Tl Cr
1 1 1
direct
0.0013 0.0013 0.0000
0.6868 0.6868 0.0000
0.3119 0.3119 0.0000


Record 22
PBE-GGA YAl, relaxed; V = 23.5 Å³ per atom; space-group type = No. 62; energy = -5.48 eV per atom
1.0
-4.3209 -11.0096 0.3789
4.7300 -1.8638 -0.2152
0.3185 0.0893 6.2251
Y Al
8 8
direct
0.6723 0.7500 0.9377
0.4496 0.7500 0.3286
0.9496 0.7500 0.1714
0.0504 0.2500 0.8286
0.8277 0.2500 0.4377
0.5504 0.2500 0.6714
0.3277 0.2500 0.0623
0.1723 0.7500 0.5623
0.8047 0.2500 0.9427
0.4075 0.7500 0.8204
0.3047 0.2500 0.5573
0.5925 0.2500 0.1796
0.0925 0.2500 0.3204
0.1953 0.7500 0.0573
0.9075 0.7500 0.6796
0.6953 0.7500 0.4427